## NaPmMnF6 (GGA+U)

Data for an optimized crystal structure of NaPmMnF6.

Cell: 5.8158 5.8158 9.3090 Å, 90.00 90.00 120.00°
With the nearest neighbours (Å) after each atom.
Element x y z (fractional)
Na 0.3333 0.6667 0.2500  6 F 2.34
Na 0.6667 0.3333 0.7500  6 F 2.34
Pm 0.3333 0.6667 0.7500  6 F 2.28
Pm 0.6667 0.3333 0.2500  6 F 2.28
Mn 0.0000 0.0000 0.0000  6 F 2.17
Mn 0.0000 0.0000 0.5000  6 F 2.17
F 0.0080 0.3204 0.6243  1 Mn 2.17, 1 Pm 2.28, 1 Na 2.34
F 0.0080 0.6876 0.8757  1 Mn 2.17, 1 Pm 2.28, 1 Na 2.34
F 0.3124 0.3204 0.8757  1 Mn 2.17, 1 Pm 2.28, 1 Na 2.34
F 0.3124 0.9920 0.6243  1 Mn 2.17, 1 Pm 2.28, 1 Na 2.34
F 0.3204 0.0080 0.1243  1 Mn 2.17, 1 Pm 2.28, 1 Na 2.34
F 0.3204 0.3124 0.3757  1 Mn 2.17, 1 Pm 2.28, 1 Na 2.34
F 0.6796 0.6876 0.6243  1 Mn 2.17, 1 Pm 2.28, 1 Na 2.34
F 0.6796 0.9920 0.8757  1 Mn 2.17, 1 Pm 2.28, 1 Na 2.34
F 0.6876 0.0080 0.3757  1 Mn 2.17, 1 Pm 2.28, 1 Na 2.34
F 0.6876 0.6796 0.1243  1 Mn 2.17, 1 Pm 2.28, 1 Na 2.34
F 0.9920 0.3124 0.1243  1 Mn 2.17, 1 Pm 2.28, 1 Na 2.34
F 0.9920 0.6796 0.3757  1 Mn 2.17, 1 Pm 2.28, 1 Na 2.34

## Properties
E_tot = -6.018 eV per atom
Magnetic moment = 10.000 Bohr magnetons per cell
Symmetry = P-31c, No. 163
Density of states at the Fermi level = 0.000 states/eV per cell


## NaPuMnF6 (GGA+U)

Data for an optimized crystal structure of NaPuMnF6.

Cell: 5.8521 5.8521 9.2677 Å, 90.00 90.00 120.00°
With the nearest neighbours (Å) after each atom.
Element x y z (fractional)
Na 0.3333 0.6667 0.2500  6 F 2.34
Na 0.6667 0.3333 0.7500  6 F 2.34
Pu 0.3333 0.6667 0.7500  6 F 2.31
Pu 0.6667 0.3333 0.2500  6 F 2.31
Mn 0.0000 0.0000 0.0000  6 F 2.17
Mn 0.0000 0.0000 0.5000  6 F 2.17
F 0.0044 0.3162 0.6247  1 Mn 2.17, 1 Pu 2.31, 1 Na 2.34
F 0.0044 0.6882 0.8753  1 Mn 2.17, 1 Pu 2.31, 1 Na 2.34
F 0.3118 0.3162 0.8753  1 Mn 2.17, 1 Pu 2.31, 1 Na 2.34
F 0.3118 0.9956 0.6247  1 Mn 2.17, 1 Pu 2.31, 1 Na 2.34
F 0.3162 0.0044 0.1247  1 Mn 2.17, 1 Pu 2.31, 1 Na 2.34
F 0.3162 0.3118 0.3753  1 Mn 2.17, 1 Pu 2.31, 1 Na 2.34
F 0.6838 0.6882 0.6247  1 Mn 2.17, 1 Pu 2.31, 1 Na 2.34
F 0.6838 0.9956 0.8753  1 Mn 2.17, 1 Pu 2.31, 1 Na 2.34
F 0.6882 0.0044 0.3753  1 Mn 2.17, 1 Pu 2.31, 1 Na 2.34
F 0.6882 0.6838 0.1247  1 Mn 2.17, 1 Pu 2.31, 1 Na 2.34
F 0.9956 0.3118 0.1247  1 Mn 2.17, 1 Pu 2.31, 1 Na 2.34
F 0.9956 0.6838 0.3753  1 Mn 2.17, 1 Pu 2.31, 1 Na 2.34

## Properties
E_tot = -6.873 eV per atom
Magnetic moment = 20.000 Bohr magnetons per cell
Symmetry = P-31c, No. 163
Density of states at the Fermi level = 12.807 states/eV per cell


## Rb2NaMnF6 (GGA+U)

Data for an optimized crystal structure of Rb2NaMnF6.

Cell: 6.0894 6.0894 6.0894 Å, 60.00 60.00 60.00°
With the nearest neighbours (Å) after each atom.
Element x y z (fractional)
Rb 0.2500 0.2500 0.2500  12 F 3.05
Rb 0.7500 0.7500 0.7500  12 F 3.05
Na 0.0000 0.0000 0.0000  6 F 2.32
Mn 0.5000 0.5000 0.5000  6 F 1.98
F 0.2699 0.2699 0.7301  1 Mn 1.98
F 0.2699 0.7301 0.2699  1 Mn 1.98
F 0.2699 0.7301 0.7301  1 Mn 1.98
F 0.7301 0.2699 0.2699  1 Mn 1.98
F 0.7301 0.2699 0.7301  1 Mn 1.98
F 0.7301 0.7301 0.2699  1 Mn 1.98

## Properties
E_tot = -4.892 eV per atom
Magnetic moment = 4.000 Bohr magnetons per cell
Symmetry = Fm-3m, No. 225
Density of states at the Fermi level = 5.892 states/eV per cell


## RbNaMnF4 (GGA+U)

Data for an optimized crystal structure of RbNaMnF4.

Cell: 7.2225 7.2225 7.2225 Å, 145.86 145.86 49.05°
With the nearest neighbours (Å) after each atom.
Element x y z (fractional)
Rb 0.0000 0.0000 0.0000  1 F 2.56
Na 0.7073 0.7073 0.0000  1 F 2.46
Mn 0.3530 0.3530 0.0000  6 F 2.08-2.20
F 0.1949 0.1949 0.0000  1 Mn 2.08
F 0.3441 0.8441 0.5000  2 Mn 2.12
F 0.5203 0.5203 0.0000  1 Mn 2.20, 1 Na 2.46
F 0.8441 0.3441 0.5000  2 Mn 2.12

## Properties
E_tot = -5.127 eV per atom
Magnetic moment = 5.000 Bohr magnetons per cell
Symmetry = I4mm, No. 107
Density of states at the Fermi level = 0.000 states/eV per cell